The following is a DFT calculation (GGA-PBE) of an optimized crystal structure of La2CdCoGe.

Structure (POSCAR):
```
La2CdCoGe
1.0
5.3746 0.0000 0.0000
0.0000 5.3746 0.0000
0.0000 0.0000 4.5250
Cd La Ge Co
1 2 1 1
direct
0.5000 0.5000 0.5000
0.0000 0.5000 0.0000
0.5000 0.0000 0.0000
0.0000 0.0000 0.5000
0.0000 0.0000 0.0000
```

Summary:
Total magnetization ... 0.00 μB per atom
Electronic total energy ... -4.882 eV per atom